1.
A geometry-optimized SrZrCuN2 structure, computed with PBE.

Cell and atoms, written as CIF:
```
data_SrZrCuN2
_cell_length_a 4.215
_cell_length_b 4.215
_cell_length_c 6.984
_cell_angle_alpha 90.00
_cell_angle_beta 90.00
_cell_angle_gamma 90.00
_space_group_name_H-M_alt 'P 4/m m m'
_space_group_IT_number 123
_space_group_name_Hall '-P 4 2'
loop_
_atom_site_label
_atom_site_type_symbol
_atom_site_fract_x
_atom_site_fract_y
_atom_site_fract_z
_atom_site_occupancy
Sr1 Sr 0.000 0.000 0.000 1
Zr1 Zr 0.000 0.000 0.500 1
Cu1 Cu 0.500 0.500 0.000 1
N1 N 0.000 0.500 0.500 1
```

Computed properties:
The value obtained for the calculated volume is 124.1 Å³/cell. As for the total energy: -5.482 eV/atom. Its spin magnetization is 1.1 μB/cell.

---

2.
A geometry-optimized TbDy2ScTe5 structure, computed with PBE.

Cell and atoms, written as CIF:
```
data_TbDy2ScTe5
_cell_length_a 5.590
_cell_length_b 5.590
_cell_length_c 11.094
_cell_angle_alpha 90.00
_cell_angle_beta 90.00
_cell_angle_gamma 90.00
_space_group_name_H-M_alt 'P 4/m m m'
_space_group_IT_number 123
_space_group_name_Hall '-P 4 2'
loop_
_atom_site_label
_atom_site_type_symbol
_atom_site_fract_x
_atom_site_fract_y
_atom_site_fract_z
_atom_site_occupancy
Tb1 Tb 0.000 0.000 0.000 1
Dy1 Dy 0.500 0.500 0.161 1
Sc1 Sc 0.000 0.000 0.500 1
Te1 Te 0.000 0.000 0.262 1
Te2 Te 0.000 0.500 0.000 1
Te3 Te 0.500 0.500 0.500 1
```

Computed properties:
The value obtained for the calculated volume is 346.7 Å³/cell. As for the total energy: -4.566 eV/atom. Its spin magnetization is 0.9 μB/cell.

---

3.
A geometry-optimized Na2SnAuSe4 structure, computed with PBE.

Cell and atoms, written as CIF:
```
data_Na2SnAuSe4
_cell_length_a 7.610
_cell_length_b 7.610
_cell_length_c 6.913
_cell_angle_alpha 90.00
_cell_angle_beta 90.00
_cell_angle_gamma 90.00
_space_group_name_H-M_alt 'I -4 2 m'
_space_group_IT_number 121
_space_group_name_Hall 'I -4 2'
loop_
_atom_site_label
_atom_site_type_symbol
_atom_site_fract_x
_atom_site_fract_y
_atom_site_fract_z
_atom_site_occupancy
Na1 Na 0.000 0.500 0.000 1
Sn1 Sn 0.000 0.000 0.000 1
Au1 Au 0.000 0.000 0.500 1
Se1 Se 0.185 0.185 0.766 1
```

Computed properties:
The value obtained for the calculated volume is 400.3 Å³/cell. As for the total energy: -3.463 eV/atom. Its spin magnetization is 0.0 μB/cell.

---

4.
A geometry-optimized Ca2Pa2S7 structure, computed with PBE.

Cell and atoms, written as CIF:
```
data_Ca2Pa2S7
_cell_length_a 8.665
_cell_length_b 9.735
_cell_length_c 6.680
_cell_angle_alpha 90.00
_cell_angle_beta 90.00
_cell_angle_gamma 90.00
_space_group_name_H-M_alt 'C m m m'
_space_group_IT_number 65
_space_group_name_Hall '-C 2 2'
loop_
_atom_site_label
_atom_site_type_symbol
_atom_site_fract_x
_atom_site_fract_y
_atom_site_fract_z
_atom_site_occupancy
Ca1 Ca 0.237 0.000 0.000 1
Pa1 Pa 0.000 0.226 0.500 1
S1 S 0.000 0.000 0.266 1
S2 S 0.000 0.500 0.500 1
S3 S 0.250 0.250 0.251 1
```

Computed properties:
The value obtained for the calculated volume is 563.6 Å³/cell. As for the total energy: -6.373 eV/atom. Its spin magnetization is 0.0 μB/cell.